No. 1
VASP calculation (PBE) on an optimized crystal structure of Ta4FeRe3.

```
data_Ta4FeRe3
_chemical_formula_sum 'Ta4 Fe1 Re3'
_cell_length_a 3.195
_cell_length_b 4.491
_cell_length_c 8.945
_cell_angle_alpha 90.00
_cell_angle_beta 90.00
_cell_angle_gamma 90.00
_symmetry_space_group_name_H-M 'P 1'
_symmetry_Int_Tables_number 1
loop_
_symmetry_equiv_pos_as_xyz
'x,y,z'
loop_
_atom_site_label
_atom_site_type_symbol
_atom_site_fract_x
_atom_site_fract_y
_atom_site_fract_z
_atom_site_occupancy
Re1 Re 0.500 0.000 0.246 1
Re2 Re 0.500 0.500 0.500 1
Re3 Re 0.500 0.000 0.754 1
Fe1 Fe 0.500 0.500 0.000 1
Ta1 Ta 0.000 0.000 0.500 1
Ta2 Ta 0.000 0.500 0.755 1
Ta3 Ta 0.000 0.000 0.000 1
Ta4 Ta 0.000 0.500 0.245 1
```

Summary:
As for the space group: Pmmm, No. 47.

No. 2
VASP calculation (PBE) on an optimized crystal structure of TaFeRe.

```
data_TaFeRe
_chemical_formula_sum 'Ta1 Fe1 Re1'
_cell_length_a 6.755
_cell_length_b 6.587
_cell_length_c 2.711
_cell_angle_alpha 81.77
_cell_angle_beta 74.83
_cell_angle_gamma 23.40
_symmetry_space_group_name_H-M 'P 1'
_symmetry_Int_Tables_number 1
loop_
_symmetry_equiv_pos_as_xyz
'x,y,z'
loop_
_atom_site_label
_atom_site_type_symbol
_atom_site_fract_x
_atom_site_fract_y
_atom_site_fract_z
_atom_site_occupancy
Fe1 Fe 0.003 0.003 0.997 1
Re1 Re 0.659 0.659 0.341 1
Ta1 Ta 0.337 0.337 0.663 1
```

Summary:
As for the space group: Fmm2, No. 42. For the polymorph energy (0 for the lowest one), the calculation gives 0.040 eV/atom.

No. 3
VASP calculation (PBE) on an optimized crystal structure of Ta4FeRe.

```
data_Ta4FeRe
_chemical_formula_sum 'Ta4 Fe1 Re1'
_cell_length_a 5.324
_cell_length_b 5.324
_cell_length_c 5.324
_cell_angle_alpha 60.00
_cell_angle_beta 60.00
_cell_angle_gamma 60.00
_symmetry_space_group_name_H-M 'P 1'
_symmetry_Int_Tables_number 1
loop_
_symmetry_equiv_pos_as_xyz
'x,y,z'
loop_
_atom_site_label
_atom_site_type_symbol
_atom_site_fract_x
_atom_site_fract_y
_atom_site_fract_z
_atom_site_occupancy
Ta1 Ta 0.877 0.374 0.374 1
Ta2 Ta 0.374 0.374 0.877 1
Ta3 Ta 0.374 0.877 0.374 1
Ta4 Ta 0.374 0.374 0.374 1
Fe1 Fe 0.750 0.750 0.750 1
Re1 Re 0.000 0.000 0.000 1
```

Summary:
As for the space group: F-43m, No. 216. For the polymorph energy (0 for the lowest one), the calculation gives 0.283 eV/atom.

no.,formation enthalpy at 0 K (eV per atom)
1,-0.330
2,0.016
3,0.560